No. 1
VASP calculation (SCAN) on a crystal of Sc3IrSe relaxed with PBEsol.

abc: 4.9763 4.9763 4.9763
angles: 90.00 90.00 90.00
Space group Pm-3m (No. 221)
Unique sites:
Sc  0.0000  0.0000  0.5000 x3
Ir  0.0000  0.0000  0.0000 x1
Se  0.5000  0.5000  0.5000 x1

Computed properties:
Calculated volume   24.65 A^3/atom
Formation energy from raw total energies   -610 meV/atom
Total magnetization   0.0000 μB per atom
Crystal system   cubic



No. 2
VASP calculation (SCAN) on a crystal of LaPt2Pb2 relaxed with PBEsol.

abc: 4.3784 4.3784 12.4295
angles: 90.00 90.00 90.00
Space group I4/mmm (No. 139)
Unique sites:
La  0.0000  0.0000  0.0000 x2
Pt  0.0000  0.0000  0.3976 x4
Pb  0.0000  0.5000  0.2500 x4

Computed properties:
ΔH_f (0 K)   -0.6523 eV/atom
Calculated volume   23.83 A^3/atom
Total magnetization   0.0000 μB per atom
Crystal system   tetragonal



No. 3
VASP calculation (SCAN) on a crystal of Rb2CrNiO relaxed with PBEsol.

abc: 6.4983 6.4983 3.4233
angles: 90.00 90.00 90.00
Space group P4/mmm (No. 123)
Unique sites:
Rb  0.0000  0.5000  0.0000 x2
Cr  0.0000  0.0000  0.5000 x1
Ni  0.5000  0.5000  0.0000 x1
O  0.5000  0.5000  0.5000 x1

Computed properties:
Calculated volume   28.91 A^3/atom
Formation energy from raw total energies   -38 meV/atom
Total magnetization   1.2689 μB per atom
Crystal system   tetragonal



No. 4
VASP calculation (SCAN) on a crystal of Mg5Cu3 relaxed with PBEsol.

abc: 7.6673 7.6673 5.3485
angles: 90.00 90.00 120.00
Space group P6_3/mcm (No. 193)
Unique sites:
Mg  0.0000  0.2474  0.2500 x6
Mg  0.3333  0.6667  0.0000 x4
Cu  0.0000  0.4017  0.7500 x6

Computed properties:
ΔH_f (0 K)   -0.0926 eV/atom
Calculated volume   17.02 A^3/atom
E above lowest polymorph   22 meV/atom
Total magnetization   0.0000 μB per atom
Crystal system   hexagonal



No. 5
VASP calculation (SCAN) on a crystal of Rh2C relaxed with PBEsol.

abc: 2.7531 2.7531 10.4740
angles: 90.00 90.00 120.00
Space group P6_3/mmc (No. 194)
Unique sites:
Rh  0.0000  0.0000  0.1215 x4
C  0.3333  0.6667  0.2500 x2

Computed properties:
ΔH_f (0 K)   0.3809 eV/atom
Calculated volume   11.46 A^3/atom
E above lowest polymorph   242 meV/atom
Total magnetization   0.0000 μB per atom
Crystal system   hexagonal



No. 6
VASP calculation (SCAN) on a crystal of K2CdBi2 relaxed with PBEsol.

abc: 7.8340 7.8340 5.7349
angles: 90.00 90.00 90.00
Space group P4/mbm (No. 127)
Unique sites:
K  0.1645  0.3355  0.0000 x4
Cd  0.0000  0.0000  0.5000 x2
Bi  0.1421  0.6421  0.5000 x4

Computed properties:
ΔH_f (0 K)   -0.3518 eV/atom
Calculated volume   35.20 A^3/atom
Total magnetization   0.0000 μB per atom
Crystal system   tetragonal



No. 7
VASP calculation (SCAN) on a crystal of NaLiAl2 relaxed with PBEsol.

abc: 6.7231 6.7231 6.7231
angles: 90.00 90.00 90.00
Space group Fm-3m (No. 225)
Unique sites:
Na  0.0000  0.0000  0.0000 x4
Li  0.0000  0.0000  0.5000 x4
Al  0.2500  0.2500  0.2500 x8

Computed properties:
ΔH_f (0 K)   0.2134 eV/atom
Calculated volume   18.99 A^3/atom
Total magnetization   0.0000 μB per atom
Crystal system   cubic



No. 8
VASP calculation (SCAN) on a crystal of NaTlBCl2 relaxed with PBEsol.

abc: 5.7301 5.7301 4.2155
angles: 90.00 90.00 90.00
Space group P4/mmm (No. 123)
Unique sites:
Na  0.0000  0.0000  0.0000 x1
Tl  0.5000  0.5000  0.5000 x1
B  0.5000  0.5000  0.0000 x1
Cl  0.0000  0.5000  0.5000 x2

Computed properties:
Calculated volume   27.68 A^3/atom
Formation energy from raw total energies   -79 meV/atom
Total magnetization   0.0003 μB per atom
Crystal system   tetragonal



No. 9
VASP calculation (SCAN) on a crystal of CeReB4 relaxed with PBEsol.

abc: 5.9770 11.5825 3.6364
angles: 90.00 90.00 90.00
Space group Pbam (No. 55)
Unique sites:
Ce  0.1266  0.1503  0.0000 x4
Re  0.1353  0.4090  0.0000 x4
B  0.0246  0.6908  0.5000 x4
B  0.1122  0.5462  0.5000 x4
B  0.1377  0.9682  0.5000 x4
B  0.2143  0.8148  0.5000 x4

Computed properties:
ΔH_f (0 K)   -0.6073 eV/atom
Calculated volume   10.49 A^3/atom
Total magnetization   0.0000 μB per atom
Crystal system   orthorhombic



No. 10
VASP calculation (SCAN) on a crystal of CsGeAsCl2 relaxed with PBEsol.

abc: 5.5470 5.5470 4.8385
angles: 90.00 90.00 90.00
Space group P4/mmm (No. 123)
Unique sites:
Cs  0.0000  0.0000  0.0000 x1
Ge  0.5000  0.5000  0.0000 x1
As  0.5000  0.5000  0.5000 x1
Cl  0.0000  0.5000  0.5000 x2

Computed properties:
Calculated volume   29.78 A^3/atom
Formation energy from raw total energies   -496 meV/atom
Total magnetization   0.2381 μB per atom
Crystal system   tetragonal



No. 11
VASP calculation (SCAN) on a crystal of Zr2AlPb relaxed with PBEsol.

abc: 4.3875 4.3875 4.3020
angles: 90.00 90.00 90.00
Space group P4/mmm (No. 123)
Unique sites:
Zr  0.0000  0.5000  0.0000 x2
Al  0.0000  0.0000  0.5000 x1
Pb  0.5000  0.5000  0.5000 x1

Computed properties:
ΔH_f (0 K)   -0.3885 eV/atom
Calculated volume   20.70 A^3/atom
Total magnetization   0.0000 μB per atom
Crystal system   tetragonal



No. 12
VASP calculation (SCAN) on a crystal of HoTiFe11 relaxed with PBEsol.

abc: 4.6274 8.2384 8.2435
angles: 90.00 90.00 90.00
Space group Imm2 (No. 44)
Unique sites:
Ho  0.0000  0.0000  0.0000 x2
Ti  0.0000  0.0000  0.3785 x2
Fe  0.0000  0.0000  0.6534 x2
Fe  0.0000  0.2856  0.5055 x4
Fe  0.0000  0.3562  0.0042 x4
Fe  0.0000  0.5000  0.2741 x2
Fe  0.0000  0.5000  0.7321 x2
Fe  0.2494  0.2490  0.7535 x8

Computed properties:
ΔH_f (0 K)   -0.0358 eV/atom
Calculated volume   12.09 A^3/atom
Total magnetization   1.8241 μB per atom
Crystal system   orthorhombic



No. 13
VASP calculation (SCAN) on a crystal of Hg3Au relaxed with PBEsol.

abc: 7.2803 8.0757 2.8644
angles: 90.00 90.00 90.00
Space group Cmmm (No. 65)
Unique sites:
Hg  0.0000  0.0000  0.0000 x2
Hg  0.2500  0.2500  0.5000 x4
Au  0.0000  0.5000  0.0000 x2

Computed properties:
ΔH_f (0 K)   0.1199 eV/atom
Calculated volume   21.05 A^3/atom
E above lowest polymorph   86 meV/atom
Total magnetization   0.0000 μB per atom
Crystal system   orthorhombic



No. 14
VASP calculation (SCAN) on a crystal of Sr3Al relaxed with PBEsol.

abc: 7.6472 7.6472 5.8130
angles: 90.00 90.00 120.00
Space group P6_3/mmc (No. 194)
Unique sites:
Sr  0.1772  0.3543  0.2500 x6
Al  0.3333  0.6667  0.7500 x2

Computed properties:
ΔH_f (0 K)   0.0108 eV/atom
Calculated volume   36.80 A^3/atom
Total magnetization   0.0002 μB per atom
Crystal system   hexagonal



No. 15
VASP calculation (SCAN) on a crystal of NaCu2Rh relaxed with PBEsol.

abc: 6.0297 6.0297 6.0297
angles: 90.00 90.00 90.00
Space group Fm-3m (No. 225)
Unique sites:
Na  0.0000  0.0000  0.0000 x4
Cu  0.2500  0.2500  0.2500 x8
Rh  0.0000  0.0000  0.5000 x4

Computed properties:
ΔH_f (0 K)   0.3244 eV/atom
Calculated volume   13.70 A^3/atom
Total magnetization   0.0000 μB per atom
Crystal system   cubic



No. 16
VASP calculation (SCAN) on a crystal of TeOsPtN2 relaxed with PBEsol.

abc: 3.7087 3.7087 6.8418
angles: 90.00 90.00 90.00
Space group P4/mmm (No. 123)
Unique sites:
Te  0.0000  0.0000  0.0000 x1
Os  0.5000  0.5000  0.0000 x1
Pt  0.0000  0.0000  0.5000 x1
N  0.0000  0.5000  0.5000 x2

Computed properties:
Calculated volume   18.82 A^3/atom
Formation energy from raw total energies   1685 meV/atom
Total magnetization   0.2467 μB per atom
Crystal system   tetragonal



No. 17
VASP calculation (SCAN) on a crystal of GaReRu3 relaxed with PBEsol.

abc: 4.6040 4.6040 4.6040
angles: 90.00 90.00 90.00
Space group Pm-3m (No. 221)
Unique sites:
Ga  0.0000  0.0000  0.0000 x1
Re  0.5000  0.5000  0.5000 x1
Ru  0.0000  0.5000  0.5000 x3

Computed properties:
ΔH_f (0 K)   1.6498 eV/atom
Calculated volume   19.52 A^3/atom
Total magnetization   0.0016 μB per atom
Crystal system   cubic



No. 18
VASP calculation (SCAN) on a crystal of BaCrAs2Se relaxed with PBEsol.

abc: 5.6713 5.6713 5.7986
angles: 90.00 90.00 90.00
Space group P4/mmm (No. 123)
Unique sites:
Ba  0.0000  0.0000  0.0000 x1
Cr  0.5000  0.5000  0.5000 x1
As  0.0000  0.5000  0.0000 x2
Se  0.0000  0.0000  0.5000 x1

Computed properties:
Calculated volume   37.30 A^3/atom
Formation energy from raw total energies   1078 meV/atom
Total magnetization   0.4628 μB per atom
Crystal system   tetragonal



No. 19
VASP calculation (SCAN) on a crystal of RbHRh3 relaxed with PBEsol.

abc: 4.1134 4.1134 4.1134
angles: 90.00 90.00 90.00
Space group Pm-3m (No. 221)
Unique sites:
Rb  0.0000  0.0000  0.0000 x1
H  0.5000  0.5000  0.5000 x1
Rh  0.0000  0.5000  0.5000 x3

Computed properties:
Calculated volume   13.92 A^3/atom
Electronic total energy   -121.259 eV per cell
Total magnetization   0.0000 μB per atom
Crystal system   cubic



No. 20
VASP calculation (SCAN) on a crystal of TlCuO2 relaxed with PBEsol.

abc: 3.4711 3.4711 17.4872
angles: 90.00 90.00 120.00
Space group R-3m (No. 166, hexagonal axes)
Unique sites:
Tl  0.0000  0.0000  0.0000 x3
Cu  0.0000  0.0000  0.5000 x3
O  0.0000  0.0000  0.3972 x6

Computed properties:
Calculated volume   15.21 A^3/atom
E above lowest polymorph   75 meV/atom
Formation energy from raw total energies   -620 meV/atom
Total magnetization   0.0207 μB per atom
Crystal system   trigonal